(1)
## Mg2FeHPt (PBE-GGA)

Data for Mg2FeHPt after structural relaxation.

```
Mg2FeHPt
1.0
4.312 0.000 0.000
0.000 4.312 0.000
0.000 0.000 3.399
Mg Fe H Pt
2 1 1 1
direct
0.000 0.500 0.000
0.500 0.000 0.000
0.000 0.000 0.500
0.000 0.000 0.000
0.500 0.500 0.500
```

As for the crystal system: tetragonal. For the calculated total energy, the calculation gives -4.499 eV/atom. The calculation puts the density of states at the Fermi level at 2.72 states/eV/f.u. As for the symmetry: P4/mmm.

(2)
## BaLa2Mg2Sn2 (PBE-GGA)

Data for BaLa2Mg2Sn2 after structural relaxation.

```
BaLa2Mg2Sn2
1.0
2.543 1.468 10.117
-2.543 1.468 10.117
0.000 -2.936 10.117
Ba La Mg Sn
1 2 2 2
direct
0.000 0.000 0.000
0.135 0.135 0.135
0.865 0.865 0.865
0.420 0.420 0.420
0.580 0.580 0.580
0.255 0.255 0.255
0.745 0.745 0.745
```

As for the crystal system: trigonal. The energy relative to the elements comes out at -0.402 eV/atom. For the calculated total energy, the calculation gives -3.684 eV/atom. The calculation puts the density of states at the Fermi level at 7.17 states/eV/f.u. As for the symmetry: R-3m.

(3)
## Na2AcSn2Au (PBE-GGA)

Data for Na2AcSn2Au after structural relaxation.

```
Na2AcSn2Au
1.0
-2.255 2.255 9.707
2.255 -2.255 9.707
2.255 2.255 -9.707
Na Ac Sn Au
2 1 2 1
direct
0.250 0.750 0.500
0.750 0.250 0.500
0.000 0.000 0.000
0.365 0.365 0.000
0.635 0.635 0.000
0.500 0.500 0.000
```

As for the crystal system: tetragonal. The energy relative to the elements comes out at -0.214 eV/atom. For the calculated total energy, the calculation gives -3.219 eV/atom. The calculation puts the density of states at the Fermi level at 4.09 states/eV/f.u. As for the symmetry: I4/mmm.